No. 1
Crystalline Sr2HfTl2 at its relaxed geometry, computed with PBE-GGA.

Geometry as POSCAR:
```
Sr2HfTl2
1.0
-0.984 -5.093 5.931
6.186 3.147 3.730
-3.208 3.438 2.420
Tl Sr Hf
4 4 2
direct
0.355 0.855 0.000
0.145 0.355 0.000
0.645 0.145 0.000
0.855 0.645 0.000
0.170 0.670 0.500
0.830 0.330 0.500
0.670 0.830 0.500
0.330 0.170 0.500
0.000 0.000 0.000
0.500 0.500 0.000
```

No. 2
Crystalline Sr2HfTl at its relaxed geometry, computed with PBE-GGA.

Output
Its energy relative to the lowest polymorph listed for this composition is 0.63 eV/f.u.

Geometry as POSCAR:
```
Sr2HfTl
1.0
-4.777 5.696 -5.358
-5.560 -6.889 -2.366
-7.142 0.128 -1.332
Hf Tl Sr
2 2 4
direct
0.500 0.500 0.000
0.250 0.750 0.500
0.000 0.000 0.000
0.750 0.250 0.500
0.875 0.898 0.750
0.102 0.625 0.250
0.375 0.352 0.750
0.648 0.125 0.250
```

no.,ΔE_f (eV/atom)
1,0.049
2,0.611